Density functional theory data (GGA-PBE) for an optimized crystal structure of TlAuSe2N.

Geometry as CIF:
```
data_TlAuSe2N
_chemical_formula_sum 'Tl1 Au1 Se2 N1'
_space_group_name_H-M_alt 'P 1'
_space_group_IT_number 1
_cell_length_a 5.484
_cell_length_b 5.484
_cell_length_c 4.087
_cell_angle_alpha 90.00
_cell_angle_beta 90.00
_cell_angle_gamma 90.00
loop_
_space_group_symop_operation_xyz
'x,y,z'
loop_
_atom_site_label
_atom_site_type_symbol
_atom_site_fract_x
_atom_site_fract_y
_atom_site_fract_z
Tl1 Tl 0.000 0.000 0.000
Au1 Au 0.500 0.500 0.500
Se1 Se 0.000 0.500 0.000
Se2 Se 0.500 0.000 0.000
N1 N 0.000 0.000 0.500
```

Properties
**SG**: No. 123
**D(E_F)**: 10.2 states/eV per cell
**Raw formation energy**: 1.511 eV/atom
**Energy above the lowest structure with this stoichiometry**: 0.721 eV/atom